*1*
{
  "formula": "GaAgPS2",
  "functional": "GGA-PBE",
  "state": "relaxed",
  "cell": [[4.976, 0.000, 0.000], [0.000, 4.976, 0.000], [0.000, 0.000, 4.790]],
  "species": ["Ga", "Ag", "P", "S", "S"],
  "fractional_positions": [[0.000, 0.000, 0.000], [0.500, 0.500, 0.500], [0.500, 0.500, 0.000], [0.000, 0.500, 0.500], [0.500, 0.000, 0.500]],
  "magmom_total_mub_per_atom": 0.21,
  "crystal_system": "tetragonal"
}

***

*2*
{
  "formula": "GaAgPS2",
  "functional": "GGA-PBE",
  "state": "relaxed",
  "cell": [[4.768, 0.000, 0.000], [0.000, 4.768, 0.000], [0.000, 0.000, 4.698]],
  "species": ["Ga", "Ag", "P", "S", "S"],
  "fractional_positions": [[0.000, 0.000, 0.000], [0.500, 0.500, 0.500], [0.000, 0.000, 0.500], [0.000, 0.500, 0.000], [0.500, 0.000, 0.000]],
  "magmom_total_mub_per_atom": 0.14,
  "crystal_system": "tetragonal"
}

***

Which structure wins on stability? *2* wins.

***

*1*
{
  "formula": "PaGa2Ag",
  "functional": "GGA-PBE",
  "state": "relaxed",
  "cell": [[4.451, 0.000, 0.000], [0.000, 4.451, 0.000], [0.000, 0.000, 4.163]],
  "species": ["Pa", "Ga", "Ga", "Ag"],
  "fractional_positions": [[0.000, 0.000, 0.000], [0.000, 0.500, 0.500], [0.500, 0.000, 0.500], [0.500, 0.500, 0.000]],
  "magmom_total_mub_per_atom": 0.00,
  "crystal_system": "tetragonal"
}

***

*2*
{
  "formula": "PaGa2Ag",
  "functional": "GGA-PBE",
  "state": "relaxed",
  "cell": [[2.181, 1.259, 4.943], [-2.181, 1.259, 4.943], [0.000, -2.518, 4.943]],
  "species": ["Pa", "Ga", "Ga", "Ag"],
  "fractional_positions": [[0.000, 0.000, 0.000], [0.226, 0.226, 0.226], [0.774, 0.774, 0.774], [0.500, 0.500, 0.500]],
  "magmom_total_mub_per_atom": 0.00,
  "crystal_system": "trigonal"
}

***

Which structure wins on stability? *2* wins.

***

*1*
{
  "formula": "PaGa2Ag",
  "functional": "GGA-PBE",
  "state": "relaxed",
  "cell": [[0.000, 3.424, 3.424], [3.424, 0.000, 3.424], [3.424, 3.424, 0.000]],
  "species": ["Pa", "Ga", "Ga", "Ag"],
  "fractional_positions": [[0.000, 0.000, 0.000], [0.250, 0.250, 0.250], [0.750, 0.750, 0.750], [0.500, 0.500, 0.500]],
  "magmom_total_mub_per_atom": 0.00,
  "crystal_system": "cubic"
}

***

*2*
{
  "formula": "PaGa2Ag",
  "functional": "GGA-PBE",
  "state": "relaxed",
  "cell": [[3.235, 0.000, 0.000], [0.000, 3.235, 0.000], [0.000, 0.000, 7.466]],
  "species": ["Pa", "Ga", "Ga", "Ag"],
  "fractional_positions": [[0.000, 0.000, 0.000], [0.500, 0.500, 0.275], [0.500, 0.500, 0.725], [0.000, 0.000, 0.500]],
  "magmom_total_mub_per_atom": 0.00,
  "crystal_system": "tetragonal"
}

***

Which structure wins on stability? *2* wins.

***

*1*
{
  "formula": "PaGaAg2",
  "functional": "GGA-PBE",
  "state": "relaxed",
  "cell": [[0.000, 3.452, 3.452], [3.452, 0.000, 3.452], [3.452, 3.452, 0.000]],
  "species": ["Pa", "Ga", "Ag", "Ag"],
  "fractional_positions": [[0.000, 0.000, 0.000], [0.500, 0.500, 0.500], [0.250, 0.250, 0.250], [0.750, 0.750, 0.750]],
  "magmom_total_mub_per_atom": 0.00,
  "crystal_system": "cubic"
}

***

*2*
{
  "formula": "PaGaAg2",
  "functional": "GGA-PBE",
  "state": "relaxed",
  "cell": [[3.098, 0.000, 0.000], [0.000, 3.098, 0.000], [0.000, 0.000, 8.226]],
  "species": ["Pa", "Ga", "Ag", "Ag"],
  "fractional_positions": [[0.000, 0.000, 0.000], [0.000, 0.000, 0.500], [0.500, 0.500, 0.286], [0.500, 0.500, 0.714]],
  "magmom_total_mub_per_atom": 0.13,
  "crystal_system": "tetragonal"
}

***

Which structure wins on stability? *1* wins.

***

*1*
{
  "formula": "GaAg2Pb",
  "functional": "GGA-PBE",
  "state": "relaxed",
  "cell": [[2.870, -1.624, 0.000], [2.870, 1.624, 0.000], [-1.705, 0.000, 9.215]],
  "species": ["Ga", "Ag", "Ag", "Pb"],
  "fractional_positions": [[0.000, 0.000, 0.000], [0.400, 0.400, 0.219], [0.599, 0.599, 0.782], [0.167, 0.167, 0.500]],
  "magmom_total_mub_per_atom": 0.00,
  "crystal_system": "monoclinic"
}

***

*2*
{
  "formula": "GaAg2Pb",
  "functional": "GGA-PBE",
  "state": "relaxed",
  "cell": [[3.476, 0.000, 0.000], [0.000, 3.476, 0.000], [0.000, 0.000, 7.050]],
  "species": ["Ga", "Ag", "Ag", "Pb"],
  "fractional_positions": [[0.000, 0.000, 0.000], [0.500, 0.500, 0.208], [0.500, 0.500, 0.792], [0.000, 0.000, 0.500]],
  "magmom_total_mub_per_atom": 0.00,
  "crystal_system": "tetragonal"
}

***

Which structure wins on stability? *2* wins.

***

*1*
{
  "formula": "Ga4Ag2Pb",
  "functional": "GGA-PBE",
  "state": "relaxed",
  "cell": [[5.259, 0.000, 0.000], [2.591, 4.841, 0.000], [1.261, 2.336, 5.595]],
  "species": ["Ga", "Ga", "Ga", "Ga", "Ag", "Ag", "Pb"],
  "fractional_positions": [[0.002, 0.213, 0.083], [0.333, 0.866, 0.504], [0.667, 0.134, 0.496], [0.998, 0.787, 0.917], [0.495, 0.700, 0.105], [0.505, 0.300, 0.895], [0.000, 0.500, 0.500]],
  "magmom_total_mub_per_atom": 0.00,
  "crystal_system": "triclinic"
}

***

*2*
{
  "formula": "Ga4Ag2Pb",
  "functional": "GGA-PBE",
  "state": "relaxed",
  "cell": [[-2.714, 2.714, 6.768], [2.714, -2.714, 6.768], [2.714, 2.714, -6.768]],
  "species": ["Ga", "Ga", "Ga", "Ga", "Ag", "Ag", "Pb"],
  "fractional_positions": [[0.000, 0.500, 0.500], [0.212, 0.212, 0.000], [0.500, 0.000, 0.500], [0.788, 0.788, 0.000], [0.400, 0.400, 0.000], [0.600, 0.600, 0.000], [0.000, 0.000, 0.000]],
  "magmom_total_mub_per_atom": 0.00,
  "crystal_system": "tetragonal"
}

***

Which structure wins on stability? *1* wins.

***

*1*
{
  "formula": "GaAgPb3",
  "functional": "GGA-PBE",
  "state": "relaxed",
  "cell": [[5.498, 0.000, 0.000], [0.000, 5.498, 0.000], [0.000, 0.000, 5.498]],
  "species": ["Ga", "Ag", "Pb", "Pb", "Pb"],
  "fractional_positions": [[0.000, 0.000, 0.000], [0.500, 0.500, 0.500], [0.000, 0.000, 0.500], [0.000, 0.500, 0.000], [0.500, 0.000, 0.000]],
  "magmom_total_mub_per_atom": 0.00,
  "crystal_system": "cubic"
}

***

*2*
{
  "formula": "GaAgPb3",
  "functional": "GGA-PBE",
  "state": "relaxed",
  "cell": [[5.532, 0.000, 0.000], [0.000, 5.532, 0.000], [0.000, 0.000, 5.532]],
  "species": ["Ga", "Ag", "Pb", "Pb", "Pb"],
  "fractional_positions": [[0.000, 0.000, 0.000], [0.500, 0.500, 0.500], [0.000, 0.500, 0.500], [0.500, 0.000, 0.500], [0.500, 0.500, 0.000]],
  "magmom_total_mub_per_atom": 0.00,
  "crystal_system": "cubic"
}

***

Which structure wins on stability? *2* wins.

***

*1*
{
  "formula": "GaAg3Pb",
  "functional": "GGA-PBE",
  "state": "relaxed",
  "cell": [[5.355, 0.000, 0.000], [0.000, 5.355, 0.000], [0.000, 0.000, 5.355]],
  "species": ["Ga", "Ag", "Ag", "Ag", "Pb"],
  "fractional_positions": [[0.000, 0.000, 0.000], [0.000, 0.500, 0.500], [0.500, 0.000, 0.500], [0.500, 0.500, 0.000], [0.500, 0.500, 0.500]],
  "magmom_total_mub_per_atom": 0.00,
  "crystal_system": "cubic"
}

***

*2*
{
  "formula": "GaAg3Pb",
  "functional": "GGA-PBE",
  "state": "relaxed",
  "cell": [[4.934, 0.000, 0.000], [0.000, 4.934, 0.000], [0.000, 0.000, 4.934]],
  "species": ["Ga", "Ag", "Ag", "Ag", "Pb"],
  "fractional_positions": [[0.000, 0.000, 0.000], [0.000, 0.000, 0.500], [0.000, 0.500, 0.000], [0.500, 0.000, 0.000], [0.500, 0.500, 0.500]],
  "magmom_total_mub_per_atom": 0.00,
  "crystal_system": "cubic"
}

***

Which structure wins on stability? *2* wins.

***

*1*
{
  "formula": "GaAgPb2Se",
  "functional": "GGA-PBE",
  "state": "relaxed",
  "cell": [[3.637, 0.000, 0.000], [0.027, 6.052, 0.000], [1.783, 0.046, 5.967]],
  "species": ["Ga", "Ag", "Pb", "Pb", "Se"],
  "fractional_positions": [[0.000, 0.000, 0.000], [0.584, 0.714, 0.832], [0.284, 0.790, 0.419], [0.732, 0.280, 0.523], [0.491, 0.305, 0.016]],
  "magmom_total_mub_per_atom": 0.00,
  "crystal_system": "triclinic"
}

***

*2*
{
  "formula": "GaAgPb2Se",
  "functional": "GGA-PBE",
  "state": "relaxed",
  "cell": [[3.544, 0.000, 0.000], [0.000, 3.545, 0.000], [-0.050, 0.000, 10.283]],
  "species": ["Ga", "Ag", "Pb", "Pb", "Se"],
  "fractional_positions": [[0.000, 0.000, 0.000], [0.496, 0.500, 0.358], [0.508, 0.500, 0.773], [0.998, 0.000, 0.531], [0.500, 0.500, 0.102]],
  "magmom_total_mub_per_atom": 0.00,
  "crystal_system": "monoclinic"
}

***

*3*
{
  "formula": "GaAgPb2Se",
  "functional": "GGA-PBE",
  "state": "relaxed",
  "cell": [[3.765, 0.000, 0.000], [-1.882, 3.260, 0.000], [0.000, 0.000, 10.999]],
  "species": ["Ga", "Ag", "Pb", "Pb", "Se"],
  "fractional_positions": [[0.000, 0.000, 0.000], [0.667, 0.333, 0.359], [0.000, 0.000, 0.546], [0.333, 0.667, 0.787], [0.667, 0.333, 0.121]],
  "magmom_total_mub_per_atom": 0.00,
  "crystal_system": "trigonal"
}

***

*4*
{
  "formula": "GaAgPb2Se",
  "functional": "GGA-PBE",
  "state": "relaxed",
  "cell": [[3.680, 0.000, 0.000], [1.839, 3.188, 0.000], [0.077, -0.043, 11.855]],
  "species": ["Ga", "Ag", "Pb", "Pb", "Se"],
  "fractional_positions": [[0.000, 0.000, 0.000], [0.684, 0.656, 0.665], [0.020, 0.991, 0.242], [0.357, 0.320, 0.484], [0.670, 0.665, 0.888]],
  "magmom_total_mub_per_atom": 0.00,
  "crystal_system": "triclinic"
}

***

Which structure wins on stability? *3* wins.

***

*1*
{
  "formula": "GaAgPb2Se",
  "functional": "GGA-PBE",
  "state": "relaxed",
  "cell": [[4.608, 0.000, 0.000], [0.241, 5.986, 0.000], [2.280, 2.722, 4.885]],
  "species": ["Ga", "Ag", "Pb", "Pb", "Se"],
  "fractional_positions": [[0.000, 0.000, 0.000], [0.519, 0.357, 0.671], [0.373, 0.120, 0.286], [0.637, 0.794, 0.797], [0.137, 0.588, 0.382]],
  "magmom_total_mub_per_atom": 0.00,
  "crystal_system": "triclinic"
}

***

*2*
{
  "formula": "GaAgPb2Se",
  "functional": "GGA-PBE",
  "state": "relaxed",
  "cell": [[3.662, 0.000, 0.000], [-0.204, 5.898, 0.000], [-1.260, -1.372, 5.926]],
  "species": ["Ga", "Ag", "Pb", "Pb", "Se"],
  "fractional_positions": [[0.000, 0.000, 0.000], [0.130, 0.689, 0.249], [0.348, 0.573, 0.727], [0.747, 0.056, 0.516], [0.562, 0.318, 0.130]],
  "magmom_total_mub_per_atom": 0.00,
  "crystal_system": "triclinic"
}

***

*3*
{
  "formula": "GaAgPb2Se",
  "functional": "GGA-PBE",
  "state": "relaxed",
  "cell": [[3.274, -1.877, 0.000], [3.274, 1.877, 0.000], [-2.187, 0.000, 10.966]],
  "species": ["Ga", "Ag", "Pb", "Pb", "Se"],
  "fractional_positions": [[0.000, 0.000, 0.000], [0.548, 0.548, 0.640], [0.155, 0.155, 0.454], [0.403, 0.403, 0.214], [0.627, 0.627, 0.879]],
  "magmom_total_mub_per_atom": 0.00,
  "crystal_system": "monoclinic"
}

***

Which structure wins on stability? *3* wins.

***

*1*
{
  "formula": "TaGa2AgPb",
  "functional": "GGA-PBE",
  "state": "relaxed",
  "cell": [[4.741, 0.000, 0.000], [0.000, 4.741, 0.000], [0.000, 0.000, 5.375]],
  "species": ["Ta", "Ga", "Ga", "Ag", "Pb"],
  "fractional_positions": [[0.000, 0.000, 0.000], [0.000, 0.500, 0.500], [0.500, 0.000, 0.500], [0.000, 0.000, 0.500], [0.500, 0.500, 0.000]],
  "magmom_total_mub_per_atom": 0.01,
  "crystal_system": "tetragonal"
}

***

*2*
{
  "formula": "TaGa2AgPb",
  "functional": "GGA-PBE",
  "state": "relaxed",
  "cell": [[5.329, 0.000, 0.000], [0.000, 5.329, 0.000], [0.000, 0.000, 5.189]],
  "species": ["Ta", "Ga", "Ga", "Ag", "Pb"],
  "fractional_positions": [[0.000, 0.000, 0.000], [0.000, 0.500, 0.500], [0.500, 0.000, 0.500], [0.500, 0.500, 0.000], [0.500, 0.500, 0.500]],
  "magmom_total_mub_per_atom": 0.63,
  "crystal_system": "tetragonal"
}

***

Which structure wins on stability? *1* wins.

***

*1*
{
  "formula": "GaAgPd",
  "functional": "GGA-PBE",
  "state": "relaxed",
  "cell": [[-1.577, 1.577, 4.868], [1.577, -1.577, 4.868], [1.577, 1.577, -4.868]],
  "species": ["Ga", "Ag", "Pd"],
  "fractional_positions": [[0.000, 0.000, 0.000], [0.325, 0.325, 0.000], [0.632, 0.632, 0.000]],
  "magmom_total_mub_per_atom": 0.00,
  "crystal_system": "tetragonal"
}

***

*2*
{
  "formula": "GaAgPd",
  "functional": "GGA-PBE",
  "state": "relaxed",
  "cell": [[12.944, 0.000, 0.000], [0.000, 1.494, 2.584], [0.000, -1.494, 2.584]],
  "species": ["Ga", "Ga", "Ag", "Ag", "Pd", "Pd"],
  "fractional_positions": [[0.176, 0.000, 0.000], [0.824, 0.000, 0.000], [0.000, 0.668, 0.668], [0.500, 0.000, 0.000], [0.321, 0.666, 0.666], [0.679, 0.666, 0.666]],
  "magmom_total_mub_per_atom": 0.00,
  "crystal_system": "orthorhombic"
}

***

Which structure wins on stability? *1* wins.